# 1
A crystal of BeAlNi2 relaxed with PBEsol, computed with meta-GGA SCAN.

Unit cell a=2.5642 b=2.5642 c=23.0134 alpha=90.00 beta=90.00 gamma=120.00
Space group R3m (No. 160, hexagonal axes)
Asymmetric unit:
Be1 0.0000 0.0000 0.0000 x3
Al1 0.0000 0.0000 0.2425 x3
Ni1 0.0000 0.0000 0.4919 x3
Ni2 0.0000 0.0000 0.7384 x3

Computed properties:
Calculated formation energy (kcal/mol of atoms): -1.87
Volume (Å³ per atom): 10.92

# 2
A crystal of BeAlNi2 relaxed with PBEsol, computed with meta-GGA SCAN.

Unit cell a=3.6683 b=3.6683 c=3.0692 alpha=90.00 beta=90.00 gamma=90.00
Space group P4/mmm (No. 123)
Asymmetric unit:
Be1 0.0000 0.0000 0.0000 x1
Al1 0.5000 0.5000 0.0000 x1
Ni1 0.0000 0.5000 0.5000 x2

Computed properties:
Calculated formation energy (kcal/mol of atoms): -13.70
Volume (Å³ per atom): 10.33

# 3
A crystal of Be2AlNi relaxed with PBEsol, computed with meta-GGA SCAN.

Unit cell a=2.5643 b=2.5643 c=22.7474 alpha=90.00 beta=90.00 gamma=120.00
Space group R-3m (No. 166, hexagonal axes)
Asymmetric unit:
Be1 0.0000 0.0000 0.2405 x6
Al1 0.0000 0.0000 0.0000 x3
Ni1 0.0000 0.0000 0.5000 x3

Computed properties:
Calculated formation energy (kcal/mol of atoms): 0.29
Volume (Å³ per atom): 10.79

# 4
A crystal of Be3AlNi relaxed with PBEsol, computed with meta-GGA SCAN.

Unit cell a=3.9310 b=3.9310 c=3.9310 alpha=90.00 beta=90.00 gamma=90.00
Space group Pm-3m (No. 221)
Asymmetric unit:
Be1 0.0000 0.0000 0.5000 x3
Al1 0.5000 0.5000 0.5000 x1
Ni1 0.0000 0.0000 0.0000 x1

Computed properties:
Calculated formation energy (kcal/mol of atoms): 8.02
Volume (Å³ per atom): 12.15

# 5
A crystal of BeAlNi relaxed with PBEsol, computed with meta-GGA SCAN.

Unit cell a=5.2428 b=5.2428 c=5.2428 alpha=90.00 beta=90.00 gamma=90.00
Space group F-43m (No. 216)
Asymmetric unit:
Be1 0.0000 0.0000 0.0000 x4
Al1 0.2500 0.2500 0.2500 x4
Ni1 0.2500 0.2500 0.7500 x4

Computed properties:
Calculated formation energy (kcal/mol of atoms): -1.53
Volume (Å³ per atom): 12.01
Excess energy over the best structure of this formula in the dataset (meV/atom): 415

# 6
A crystal of BeAl4Ni relaxed with PBEsol, computed with meta-GGA SCAN.

Unit cell a=7.1140 b=7.1140 c=7.1140 alpha=90.00 beta=90.00 gamma=90.00
Space group F-43m (No. 216)
Asymmetric unit:
Be1 0.0000 0.0000 0.0000 x4
Al1 0.1252 0.1252 0.6252 x16
Ni1 0.2500 0.2500 0.2500 x4

Computed properties:
Calculated formation energy (kcal/mol of atoms): 10.16
Volume (Å³ per atom): 15.00

# 7
A crystal of BeAlNi relaxed with PBEsol, computed with meta-GGA SCAN.

Unit cell a=2.8364 b=2.8364 c=7.9041 alpha=90.00 beta=90.00 gamma=90.00
Space group I4mm (No. 107)
Asymmetric unit:
Be1 0.0000 0.0000 0.0000 x2
Al1 0.0000 0.0000 0.6868 x2
Ni1 0.0000 0.0000 0.3669 x2

Computed properties:
Calculated formation energy (kcal/mol of atoms): -11.11
Volume (Å³ per atom): 10.60
Excess energy over the best structure of this formula in the dataset (meV/atom): 0

# 8
A crystal of Be3AlO relaxed with PBEsol, computed with meta-GGA SCAN.

Unit cell a=3.6643 b=3.6643 c=3.6643 alpha=90.00 beta=90.00 gamma=90.00
Space group Pm-3m (No. 221)
Asymmetric unit:
Be1 0.0000 0.0000 0.5000 x3
Al1 0.5000 0.5000 0.5000 x1
O1 0.0000 0.0000 0.0000 x1

Computed properties:
Volume (Å³ per atom): 9.84
Raw formation energy (eV per atom): -0.233

One value per record, in order, for Fermi-level density of states: 8.4 1.6 5.1 1.9 6.3 15.5 1.6 1.3 states/eV per cell.